Density functional theory data (PBE) for BaGa4Au4 after structural relaxation.

The formation energy comes out at -0.445 eV/atom. The total energy comes out at -3.4607 eV/atom.

The structure belongs to space group P4_2/nmc (No. 137, origin choice 2); the cell edges are 6.599, 6.599 and 8.964 Å and the angles 90.00°, 90.00° and 90.00°. The asymmetric unit holds Ba at (0.250, 0.750, 0.250), Ga at (0.019, 0.250, 0.128) and Au at (0.038, 0.250, 0.422).



Density functional theory data (PBE) for MgSc2V after structural relaxation.

The formation energy comes out at 0.496 eV/atom. The total energy comes out at -5.3481 eV/atom.

The structure belongs to space group R-3m (No. 166, hexagonal axes); the cell edges are 3.0165, 3.0165 and 32.3464 Å and the angles 90.00°, 90.00° and 120.00°. The asymmetric unit holds Mg at (0.0000, 0.0000, 0.0000), Sc at (0.0000, 0.0000, 0.4174) and V at (0.0000, 0.0000, 0.5000).



Density functional theory data (PBE) for Sc2MoCl after structural relaxation.

The calculation puts the formation energy without anion corrections at -0.338 eV/atom. The calculation puts the energy above the lowest structure with this stoichiometry at 0.209 eV/atom. The total energy comes out at -6.6736 eV/atom.

The structure belongs to space group R-3m (No. 166, hexagonal axes); the cell edges are 3.4157, 3.4157 and 26.5155 Å and the angles 90.00°, 90.00° and 120.00°. The asymmetric unit holds Sc at (0.0000, 0.0000, 0.0946), Mo at (0.0000, 0.0000, 0.5000) and Cl at (0.0000, 0.0000, 0.0000).



Density functional theory data (PBE) for KMn2AgI6 after structural relaxation.

The calculation puts the formation energy without anion corrections at -0.582 eV/atom. The total energy comes out at -3.7406 eV/atom.

The structure belongs to space group C2/c (No. 15); the cell edges are 15.444, 14.893 and 8.356 Å and the angles 90.00°, 110.89° and 90.00°. The asymmetric unit holds K at (0.000, 0.125, 0.250), Mn at (0.190, 0.427, 0.203), Ag at (0.000, 0.212, 0.750), I at (0.123, 0.073, 0.679), I at (0.127, 0.264, 0.070) and I at (0.130, 0.436, 0.476).



Density functional theory data (PBE) for Sm2ErAg after structural relaxation.

The calculation puts the energy above the lowest structure with this stoichiometry at 0.095 eV/atom. The formation energy comes out at -0.011 eV/atom. The total energy comes out at -4.2245 eV/atom.

The structure belongs to space group R-3m (No. 166, hexagonal axes); the cell edges are 3.5877, 3.5877 and 31.7965 Å and the angles 90.00°, 90.00° and 120.00°. The asymmetric unit holds Sm at (0.0000, 0.0000, 0.2427), Er at (0.0000, 0.0000, 0.0000) and Ag at (0.0000, 0.0000, 0.5000).



Density functional theory data (PBE) for Pm10NdDy6 after structural relaxation.

The formation energy comes out at 0.130 eV/atom. The total energy comes out at -4.5692 eV/atom.

The structure belongs to space group P-31m (No. 162); the cell edges are 9.8307, 9.8307 and 6.9031 Å and the angles 90.00°, 90.00° and 120.00°. The asymmetric unit holds Pm at (0.0000, 0.2762, 0.3170), Pm at (0.3333, 0.6667, 0.0000), Pm at (0.3333, 0.6667, 0.5000), Nd at (0.0000, 0.0000, 0.0000) and Dy at (0.0000, 0.3731, 0.8062).